# 1
AcLa2Nd6Ho: optimized geometry, PBE.

As for the crystal system: monoclinic. The calculated total energy comes out at -4.601 eV/atom. The value obtained for the spin magnetization is 0.00 Bohr magnetons per cell.

The structure belongs to space group C2/c (No. 15); the cell edges are 9.385, 15.668 and 9.996 Å and the angles 90.00°, 96.94° and 90.00°. Symmetry generates all atoms from Ac at (0.000, 0.019, 0.250), La at (0.245, 0.444, 0.456), Nd at (0.065, 0.192, 0.945), Nd at (0.103, 0.395, 0.118), Nd at (0.208, 0.224, 0.310) and Ho at (0.000, 0.408, 0.750).


# 2
AcLa2NdHo5: optimized geometry, PBE.

As for the crystal system: tetragonal. The calculated total energy comes out at -4.386 eV/atom. The value obtained for the spin magnetization is 0.00 Bohr magnetons per cell.

The structure belongs to space group I4/mcm (No. 140); the cell edges are 8.806, 8.806 and 15.964 Å and the angles 90.00°, 90.00° and 90.00°. Symmetry generates all atoms from Ac at (0.000, 0.000, 0.250), La at (0.117, 0.383, 0.000), Nd at (0.000, 0.500, 0.250), Ho at (0.000, 0.000, 0.000) and Ho at (0.211, 0.289, 0.364).


# 3
Ac5LaNd2Ho: optimized geometry, PBE.

As for the crystal system: tetragonal. The calculated total energy comes out at -4.118 eV/atom. The value obtained for the spin magnetization is 0.00 Bohr magnetons per cell.

The structure belongs to space group I4/mcm (No. 140); the cell edges are 8.404, 8.404 and 21.313 Å and the angles 90.00°, 90.00° and 90.00°. Symmetry generates all atoms from Ac at (0.000, 0.000, 0.000), Ac at (0.215, 0.285, 0.133), La at (0.000, 0.000, 0.250), Nd at (0.122, 0.378, 0.500) and Ho at (0.000, 0.500, 0.250).


# 4
Ac2La5NdHo: optimized geometry, PBE.

As for the crystal system: orthorhombic. The calculated total energy comes out at -4.588 eV/atom. The value obtained for the spin magnetization is 0.00 Bohr magnetons per cell.

The structure belongs to space group Cmcm (No. 63); the cell edges are 5.692, 22.739 and 10.661 Å and the angles 90.00°, 90.00° and 90.00°. Symmetry generates all atoms from Ac at (0.000, 0.115, 0.013), La at (0.000, 0.005, 0.750), La at (0.000, 0.277, 0.060), La at (0.000, 0.378, 0.750), La at (0.000, 0.500, 0.000), Nd at (0.000, 0.215, 0.750) and Ho at (0.000, 0.397, 0.250).


# 5
AcLa2Nd5Ho: optimized geometry, PBE.

As for the crystal system: orthorhombic. The calculated total energy comes out at -4.572 eV/atom. The value obtained for the spin magnetization is 0.00 Bohr magnetons per cell.

The structure belongs to space group Cmcm (No. 63); the cell edges are 5.584, 22.597 and 10.580 Å and the angles 90.00°, 90.00° and 90.00°. Symmetry generates all atoms from Ac at (0.000, 0.100, 0.250), La at (0.000, 0.382, 0.010), Nd at (0.000, 0.000, 0.000), Nd at (0.000, 0.120, 0.750), Nd at (0.000, 0.223, 0.056), Nd at (0.000, 0.497, 0.250) and Ho at (0.000, 0.281, 0.750).


# 6
Ac2La2Nd4Ho: optimized geometry, PBE.

As for the crystal system: monoclinic. The calculated total energy comes out at -4.609 eV/atom. The value obtained for the spin magnetization is 0.00 Bohr magnetons per cell.

The structure belongs to space group C2/m (No. 12); the cell edges are 19.505, 3.797 and 10.093 Å and the angles 90.00°, 115.70° and 90.00°. Symmetry generates all atoms from Ac at (0.144, 0.000, 0.164), La at (0.164, 0.500, 0.503), Nd at (0.019, 0.500, 0.817), Nd at (0.185, 0.000, 0.833) and Ho at (0.000, 0.000, 0.500).


# 7
Ac2LaNdHo: optimized geometry, PBE.

As for the crystal system: monoclinic. The calculated total energy comes out at -4.264 eV/atom. The value obtained for the spin magnetization is 0.00 Bohr magnetons per cell.

The structure belongs to space group P2/c (No. 13); the cell edges are 8.850, 6.905 and 6.527 Å and the angles 90.00°, 90.04° and 90.00°. Symmetry generates all atoms from Ac at (0.208, 0.213, 0.250), La at (0.500, 0.083, 0.750), Nd at (0.000, 0.316, 0.750) and Ho at (0.500, 0.500, 0.000).


# 8
AcLa2Nd2Ho2: optimized geometry, PBE.

As for the crystal system: monoclinic. The calculated total energy comes out at -4.629 eV/atom. The value obtained for the spin magnetization is 0.00 Bohr magnetons per cell.

The structure belongs to space group C2/m (No. 12); the cell edges are 11.753, 5.266 and 8.197 Å and the angles 90.00°, 98.11° and 90.00°. Symmetry generates all atoms from Ac at (0.000, 0.000, 0.000), La at (0.215, 0.500, 0.151), Nd at (0.074, 0.500, 0.706) and Ho at (0.142, 0.000, 0.433).